Record 1
Pm12Y5Cd2: optimized geometry, PBE-GGA.

ΔH_f (0 K), eV per atom: 0.04

a = 9.196 Å, b = 9.100 Å, c = 8.607 Å
α = 92.66°, β = 90.00°, γ = 120.35°
Atoms (fractional coordinates):
Y1 0.000 0.000 0.500
Y2 0.233 0.467 0.575
Y3 0.302 0.605 0.980
Y4 0.698 0.395 0.020
Y5 0.767 0.533 0.425
Cd1 0.332 0.000 0.000
Cd2 0.668 0.000 0.000
Pm1 0.333 0.295 0.236
Pm2 0.569 0.747 0.325
Pm3 0.038 0.705 0.764
Pm4 0.081 0.161 0.885
Pm5 0.962 0.295 0.236
Pm6 0.667 0.705 0.764
Pm7 0.919 0.839 0.115
Pm8 0.822 0.253 0.675
Pm9 0.444 0.887 0.667
Pm10 0.556 0.113 0.333
Pm11 0.431 0.253 0.675
Pm12 0.178 0.747 0.325



Record 2
SrAlOs2: optimized geometry, PBE-GGA.

ΔH_f (0 K), eV per atom: 0.62

a = 5.599 Å, b = 5.599 Å, c = 5.599 Å
α = 149.67°, β = 125.40°, γ = 63.74°
Atoms (fractional coordinates):
Al1 0.250 0.750 0.500
Sr1 0.750 0.250 0.500
Os1 0.034 0.034 0.000
Os2 0.466 0.466 0.000



Record 3
Be3GaPb: optimized geometry, PBE-GGA.

ΔH_f (0 K), eV per atom: 1.34
Excess energy over the best structure of this formula in the dataset, eV per formula unit: 2.645

a = 4.713 Å, b = 4.713 Å, c = 4.713 Å
α = 90.00°, β = 90.00°, γ = 90.00°
Atoms (fractional coordinates):
Be1 0.500 0.000 0.000
Be2 0.000 0.500 0.000
Be3 0.000 0.000 0.500
Pb1 0.000 0.000 0.000
Ga1 0.500 0.500 0.500



Record 4
PuTh4Pt5: optimized geometry, PBE-GGA.

ΔH_f (0 K), eV per atom: -1.12

a = 5.910 Å, b = 7.240 Å, c = 7.240 Å
α = 80.41°, β = 65.91°, γ = 65.91°
Atoms (fractional coordinates):
Pt1 0.702 0.199 0.400
Pt2 0.102 0.600 0.199
Pt3 0.501 0.000 0.000
Pt4 0.300 0.801 0.600
Pt5 0.901 0.400 0.801
Th1 0.802 0.797 0.602
Th2 0.599 0.602 0.203
Th3 0.201 0.203 0.398
Th4 0.404 0.398 0.797
Pu1 0.001 0.000 0.000



Record 5
NdYErMg: optimized geometry, PBE-GGA.

ΔH_f (0 K), eV per atom: -0.03
Excess energy over the best structure of this formula in the dataset, eV per formula unit: 0.000

a = 3.660 Å, b = 3.660 Å, c = 9.054 Å
α = 90.00°, β = 90.00°, γ = 90.00°
Atoms (fractional coordinates):
Mg1 0.000 0.000 0.568
Er1 0.500 0.500 0.346
Nd1 0.000 0.000 0.075
Y1 0.500 0.500 0.795



Record 6
SnPdCl3: optimized geometry, PBE-GGA.

ΔE_f (raw), eV per atom: -0.362
Excess energy over the best structure of this formula in the dataset, eV per formula unit: 0.000

a = 4.932 Å, b = 4.932 Å, c = 4.932 Å
α = 90.00°, β = 90.00°, γ = 90.00°
Atoms (fractional coordinates):
Cl1 0.000 0.500 0.000
Cl2 0.000 0.000 0.500
Cl3 0.500 0.000 0.000
Pd1 0.000 0.000 0.000
Sn1 0.500 0.500 0.500



Record 7
Ca2Ir2W: optimized geometry, PBE-GGA.

ΔH_f (0 K), eV per atom: -0.13

a = 6.591 Å, b = 6.591 Å, c = 4.872 Å
α = 90.00°, β = 90.00°, γ = 90.00°
Atoms (fractional coordinates):
Ca1 0.680 0.820 0.500
Ca2 0.320 0.180 0.500
Ca3 0.820 0.320 0.500
Ca4 0.180 0.680 0.500
W1 0.500 0.500 0.000
W2 0.000 0.000 0.000
Ir1 0.134 0.366 0.000
Ir2 0.634 0.134 0.000
Ir3 0.366 0.866 0.000
Ir4 0.866 0.634 0.000



Record 8
PmNd2Zn2Ga2: optimized geometry, PBE-GGA.

ΔH_f (0 K), eV per atom: -0.40

a = 4.505 Å, b = 4.505 Å, c = 9.924 Å
α = 76.88°, β = 76.88°, γ = 60.00°
Atoms (fractional coordinates):
Ga1 0.266 0.266 0.202
Ga2 0.734 0.734 0.798
Zn1 0.603 0.603 0.192
Zn2 0.397 0.397 0.808
Nd1 0.874 0.874 0.379
Nd2 0.126 0.126 0.621
Pm1 0.000 0.000 0.000



Record 9
NaNb2Al: optimized geometry, PBE-GGA.

ΔH_f (0 K), eV per atom: 0.84
Excess energy over the best structure of this formula in the dataset, eV per formula unit: 1.022

a = 7.664 Å, b = 7.664 Å, c = 6.045 Å
α = 50.66°, β = 50.66°, γ = 90.00°
Atoms (fractional coordinates):
Nb1 0.642 0.125 0.250
Nb2 0.875 0.892 0.750
Nb3 0.108 0.625 0.250
Nb4 0.375 0.358 0.750
Na1 0.500 0.500 0.000
Na2 0.250 0.750 0.500
Al1 0.750 0.250 0.500
Al2 0.000 0.000 0.000



Record 10
Y2AgH: optimized geometry, PBE-GGA.

Excess energy over the best structure of this formula in the dataset, eV per formula unit: 0.000

a = 6.763 Å, b = 6.763 Å, c = 6.060 Å
α = 56.08°, β = 56.08°, γ = 90.00°
Atoms (fractional coordinates):
H1 0.500 0.500 0.000
H2 0.250 0.750 0.500
Y1 0.537 0.125 0.250
Y2 0.213 0.625 0.250
Y3 0.375 0.463 0.750
Y4 0.875 0.787 0.750
Ag1 0.000 0.000 0.000
Ag2 0.750 0.250 0.500



Record 11
CsTiZnCl6: optimized geometry, PBE-GGA.

ΔE_f (raw), eV per atom: -1.526

a = 6.501 Å, b = 6.501 Å, c = 7.784 Å
α = 89.97°, β = 90.03°, γ = 60.02°
Atoms (fractional coordinates):
Cl1 0.993 0.385 0.320
Cl2 0.622 0.385 0.680
Cl3 0.385 0.622 0.320
Cl4 0.385 0.993 0.680
Cl5 0.622 0.993 0.320
Cl6 0.993 0.622 0.680
Cs1 0.000 0.000 0.000
Ti1 0.667 0.667 0.500
Zn1 0.333 0.333 0.500



Record 12
Mg6InBi5: optimized geometry, PBE-GGA.

ΔH_f (0 K), eV per atom: -0.10

a = 6.760 Å, b = 8.523 Å, c = 8.452 Å
α = 73.78°, β = 127.77°, γ = 118.82°
Atoms (fractional coordinates):
Bi1 0.315 0.977 0.636
Bi2 0.571 0.431 0.267
Bi3 0.429 0.569 0.733
Bi4 0.000 0.500 0.000
Bi5 0.685 0.023 0.364
Mg1 0.209 0.315 0.420
Mg2 0.531 0.795 0.056
Mg3 0.124 0.720 0.318
Mg4 0.876 0.280 0.682
Mg5 0.791 0.685 0.580
Mg6 0.469 0.205 0.944
In1 0.000 0.000 0.000



Record 13
Hf2SbPd8: optimized geometry, PBE-GGA.

ΔE_f (raw), eV per atom: -0.635

a = 4.687 Å, b = 5.801 Å, c = 7.932 Å
α = 111.38°, β = 107.18°, γ = 90.00°
Atoms (fractional coordinates):
Pd1 0.183 0.184 0.367
Pd2 0.356 0.592 0.711
Pd3 0.645 0.882 0.290
Pd4 0.355 0.118 0.710
Pd5 0.817 0.816 0.633
Pd6 0.644 0.408 0.289
Pd7 0.000 0.256 0.000
Pd8 0.000 0.744 0.000
Sb1 0.500 0.000 0.000
Hf1 0.188 0.688 0.377
Hf2 0.812 0.312 0.623



Record 14
BeCu2As: optimized geometry, PBE-GGA.

ΔH_f (0 K), eV per atom: 0.20
Excess energy over the best structure of this formula in the dataset, eV per formula unit: 0.353

a = 3.661 Å, b = 3.661 Å, c = 8.486 Å
α = 77.54°, β = 77.54°, γ = 90.00°
Atoms (fractional coordinates):
As1 0.000 0.000 0.000
As2 0.750 0.250 0.500
Be1 0.500 0.500 0.000
Be2 0.250 0.750 0.500
Cu1 0.875 0.861 0.750
Cu2 0.139 0.625 0.250
Cu3 0.611 0.125 0.250
Cu4 0.375 0.389 0.750



Record 15
AlSe2SBr: optimized geometry, PBE-GGA.

ΔE_f (raw), eV per atom: 1.074
Excess energy over the best structure of this formula in the dataset, eV per formula unit: 3.619

a = 5.131 Å, b = 5.715 Å, c = 5.131 Å
α = 90.00°, β = 90.00°, γ = 90.00°
Atoms (fractional coordinates):
Al1 0.000 0.500 0.000
Se1 0.000 0.000 0.500
Se2 0.500 0.000 0.000
S1 0.500 0.500 0.500
Br1 0.000 0.000 0.000



Record 16
Sm2EuGd: optimized geometry, PBE-GGA.

ΔH_f (0 K), eV per atom: 0.12
Excess energy over the best structure of this formula in the dataset, eV per formula unit: 0.000

a = 3.890 Å, b = 5.985 Å, c = 5.985 Å
α = 90.00°, β = 90.00°, γ = 90.00°
Atoms (fractional coordinates):
Sm1 0.000 0.000 0.500
Sm2 0.000 0.500 0.000
Eu1 0.500 0.000 0.000
Gd1 0.500 0.500 0.500



Record 17
Si2TcAs: optimized geometry, PBE-GGA.

ΔE_f (raw), eV per atom: 0.061

a = 3.084 Å, b = 3.084 Å, c = 6.418 Å
α = 90.00°, β = 90.00°, γ = 90.00°
Atoms (fractional coordinates):
Si1 0.000 0.000 0.043
Si2 0.000 0.000 0.457
As1 0.500 0.500 0.750
Tc1 0.500 0.500 0.250



Record 18
BeAlW2: optimized geometry, PBE-GGA.

ΔH_f (0 K), eV per atom: 0.14

a = 4.328 Å, b = 4.328 Å, c = 4.328 Å
α = 60.00°, β = 60.00°, γ = 60.00°
Atoms (fractional coordinates):
Be1 0.750 0.750 0.750
Al1 0.500 0.500 0.500
W1 0.000 0.000 0.000
W2 0.250 0.250 0.250



Record 19
Y3HfO: optimized geometry, PBE-GGA.

ΔE_f (raw), eV per atom: 1.013
Excess energy over the best structure of this formula in the dataset, eV per formula unit: 10.227

a = 5.505 Å, b = 5.505 Å, c = 5.505 Å
α = 90.00°, β = 90.00°, γ = 90.00°
Atoms (fractional coordinates):
Y1 0.000 0.500 0.000
Y2 0.000 0.000 0.500
Y3 0.500 0.000 0.000
O1 0.500 0.500 0.500
Hf1 0.000 0.000 0.000



Record 20
AcLa4Dy15: optimized geometry, PBE-GGA.

ΔH_f (0 K), eV per atom: 0.04

a = 5.122 Å, b = 5.122 Å, c = 25.346 Å
α = 90.00°, β = 90.00°, γ = 90.00°
Atoms (fractional coordinates):
La1 0.000 0.000 0.401
La2 0.000 0.000 0.599
La3 0.000 0.000 0.202
La4 0.000 0.000 0.798
Dy1 0.500 0.500 0.401
Dy2 0.500 0.500 0.202
Dy3 0.500 0.500 0.000
Dy4 0.500 0.500 0.798
Dy5 0.000 0.500 0.699
Dy6 0.500 0.500 0.599
Dy7 0.000 0.500 0.500
Dy8 0.000 0.500 0.103
Dy9 0.500 0.000 0.699
Dy10 0.500 0.000 0.103
Dy11 0.500 0.000 0.301
Dy12 0.500 0.000 0.500
Dy13 0.500 0.000 0.897
Dy14 0.000 0.500 0.897
Dy15 0.000 0.500 0.301
Ac1 0.000 0.000 0.000



Record 21
La2GaCl: optimized geometry, PBE-GGA.

ΔE_f (raw), eV per atom: -0.688
Excess energy over the best structure of this formula in the dataset, eV per formula unit: 1.418

a = 6.147 Å, b = 6.147 Å, c = 8.851 Å
α = 69.68°, β = 69.68°, γ = 90.00°
Atoms (fractional coordinates):
Ga1 0.750 0.250 0.500
Ga2 0.000 0.000 0.000
La1 0.619 0.125 0.250
La2 0.375 0.381 0.750
La3 0.131 0.625 0.250
La4 0.875 0.869 0.750
Cl1 0.500 0.500 0.000
Cl2 0.250 0.750 0.500



Record 22
AgTeI2: optimized geometry, PBE-GGA.

ΔE_f (raw), eV per atom: 0.458
Excess energy over the best structure of this formula in the dataset, eV per formula unit: 1.665

a = 5.547 Å, b = 5.547 Å, c = 5.547 Å
α = 60.00°, β = 60.00°, γ = 60.00°
Atoms (fractional coordinates):
I1 0.750 0.750 0.750
I2 0.250 0.250 0.250
Ag1 0.000 0.000 0.000
Te1 0.500 0.500 0.500



Record 23
NdEr2Pd: optimized geometry, PBE-GGA.

ΔH_f (0 K), eV per atom: -0.44
Excess energy over the best structure of this formula in the dataset, eV per formula unit: 0.113

a = 3.557 Å, b = 3.557 Å, c = 8.568 Å
α = 90.00°, β = 90.00°, γ = 90.00°
Atoms (fractional coordinates):
Nd1 0.500 0.500 0.500
Pd1 0.500 0.500 0.000
Er1 0.000 0.000 0.193
Er2 0.000 0.000 0.807



Record 24
CsRb3Cd: optimized geometry, PBE-GGA.

ΔH_f (0 K), eV per atom: 0.02
Excess energy over the best structure of this formula in the dataset, eV per formula unit: 0.140

a = 7.440 Å, b = 7.440 Å, c = 7.440 Å
α = 90.00°, β = 90.00°, γ = 90.00°
Atoms (fractional coordinates):
Rb1 0.000 0.500 0.000
Rb2 0.500 0.000 0.000
Rb3 0.000 0.000 0.500
Cd1 0.000 0.000 0.000
Cs1 0.500 0.500 0.500



Record 25
MnCrIr6: optimized geometry, PBE-GGA.

ΔH_f (0 K), eV per atom: -0.20

a = 3.819 Å, b = 5.413 Å, c = 5.413 Å
α = 90.00°, β = 90.00°, γ = 90.00°
Atoms (fractional coordinates):
Cr1 0.500 0.000 0.000
Ir1 0.000 0.248 0.752
Ir2 0.000 0.752 0.248
Ir3 0.000 0.752 0.752
Ir4 0.500 0.000 0.500
Ir5 0.000 0.248 0.248
Ir6 0.500 0.500 0.000
Mn1 0.500 0.500 0.500



no.,magnetic moment (μB per cell),DOS(E_F) (states/eV per cell)
1,0.0,30.150
2,0.0,3.253
3,0.0,3.079
4,5.7,16.292
5,0.0,4.972
6,0.0,4.066
7,0.0,3.538
8,0.0,3.692
9,0.0,6.845
10,0.0,3.733
11,1.0,5.176
12,0.0,4.671
13,0.0,3.036
14,0.0,2.671
15,2.0,6.401
16,15.6,5.726
17,0.0,1.815
18,0.0,3.792
19,0.0,5.877
20,0.0,31.018
21,0.0,4.531
22,0.0,11.521
23,0.0,4.658
24,0.0,4.194
25,3.4,6.970